(1)
First-principles (PBE) data for crystalline NaTlSn2S at its relaxed geometry, as listed in Alexandria via LeMat-Bulk.

Structure (POSCAR):
```
NaTlSn2S
1.0
5.597 0.000 0.000
0.000 4.910 0.000
0.000 0.000 5.597
Sn Tl Na S
2 1 1 1
Direct
0.500 0.000 0.000
0.000 0.000 0.500
0.500 0.500 0.500
0.000 0.000 0.000
0.000 0.500 0.000
```

Calculated values
DFT total energy = -13.84 eV/f.u.
Crystal system = tetragonal
Space-group type = P4/mmm (123)

(2)
First-principles (PBE) data for crystalline Na3TmSn3S8 at its relaxed geometry, as listed in Alexandria via LeMat-Bulk.

Structure (POSCAR):
```
Na3TmSn3S8
1.0
-0.283 -2.461 7.338
-5.237 -2.494 -5.125
7.676 -2.786 -0.638
Na S Tm Sn
3 8 1 3
Direct
0.500 0.500 0.000
0.000 0.000 0.000
0.000 0.500 0.000
0.239 0.977 0.717
0.760 0.520 0.283
0.761 0.023 0.283
0.738 0.977 0.717
0.742 0.485 0.725
0.262 0.023 0.283
0.240 0.480 0.717
0.258 0.515 0.275
0.000 0.000 0.500
0.500 0.000 0.500
0.500 0.500 0.500
0.000 0.500 0.500
```

Calculated values
DFT total energy = -67.29 eV/f.u.
Crystal system = monoclinic
Space-group type = C2/m (12)

Calculated uncorrected formation energy, 0.396, -0.922 eV/atom (same order as the records).